# 1
A plane-wave DFT calculation with PBE was carried out for a relaxed AlCuS5 crystal.

Cell lengths 6.4059, 6.4059, 10.0737 Å; angles 90.73, 90.73, 118.37 degrees
With the nearest neighbours (Å) after each atom.
Element x y z (fractional)
1 Al 0.0523 0.9477 0.7500  4 S 2.25-2.31
2 Al 0.9477 0.0523 0.2500  4 S 2.25-2.31
3 Cu 0.0000 0.5000 0.5000  2 S 2.27
4 Cu 0.5000 0.0000 0.0000  2 S 2.27
5 S 0.0465 0.9082 0.4287  1 S 2.11, 1 Al 2.25
6 S 0.0663 0.4513 0.2836  1 S 2.11, 1 Cu 2.27, 1 Al 2.31
7 S 0.0918 0.9535 0.0713  1 S 2.11, 1 Al 2.25
8 S 0.4291 0.5709 0.2500  2 S 2.11
9 S 0.4513 0.0663 0.7836  1 S 2.11, 1 Cu 2.27, 1 Al 2.31
10 S 0.5487 0.9337 0.2164  1 S 2.11, 1 Cu 2.27, 1 Al 2.31
11 S 0.5709 0.4291 0.7500  2 S 2.11
12 S 0.9082 0.0465 0.9287  1 S 2.11, 1 Al 2.25
13 S 0.9337 0.5487 0.7164  1 S 2.11, 1 Cu 2.27, 1 Al 2.31
14 S 0.9535 0.0918 0.5713  1 S 2.11, 1 Al 2.25

The value obtained for the total energy is -60.051 eV/cell. The value obtained for the density is 2.3 g/cm³. For the raw formation energy, the calculation gives -0.22 eV per atom.

---

# 2
A plane-wave DFT calculation with PBE was carried out for a relaxed TaMo2Rh2 crystal.

Cell lengths 7.6055, 7.6055, 2.7764 Å; angles 90.00, 90.00, 90.00 degrees
With the nearest neighbours (Å) after each atom.
Element x y z (fractional)
1 Ta 0.0000 0.0000 0.0000  2 Ta 2.78, 4 Mo 3.03
2 Ta 0.5000 0.5000 0.0000  2 Ta 2.78, 4 Mo 3.03
3 Mo 0.1207 0.3793 0.0000  6 Rh 2.59-2.68, 3 Mo 2.60-2.78
4 Mo 0.3793 0.8793 0.0000  6 Rh 2.59-2.68, 3 Mo 2.60-2.78
5 Mo 0.6207 0.1207 0.0000  6 Rh 2.59-2.68, 3 Mo 2.60-2.78
6 Mo 0.8793 0.6207 0.0000  6 Rh 2.59-2.68, 3 Mo 2.60-2.78
7 Rh 0.1754 0.6754 0.5000  6 Mo 2.59-2.68, 2 Rh 2.78
8 Rh 0.3246 0.1754 0.5000  6 Mo 2.59-2.68, 2 Rh 2.78
9 Rh 0.6754 0.8246 0.5000  6 Mo 2.59-2.68, 2 Rh 2.78
10 Rh 0.8246 0.3246 0.5000  6 Mo 2.59-2.68, 2 Rh 2.78

The calculation puts the density of states at the Fermi level at 4.410 states/eV/f.u. The calculation puts the energy above the most stable polymorph in this dataset at 0.069 eV/atom. As for the formation energy from the elements: 0.0450 eV/atom. The value obtained for the total energy is -95.985 eV/cell. The value obtained for the density is 12.0 g/cm³.

---

# 3
A plane-wave DFT calculation with PBE was carried out for a relaxed ZrIrRu2 crystal.

Cell lengths 2.8332, 2.8332, 7.9271 Å; angles 90.00, 90.00, 90.00 degrees
With the nearest neighbours (Å) after each atom.
Element x y z (fractional)
1 Zr 0.0000 0.0000 0.0000  4 Zr 2.83, 8 Ru 2.95
2 Ir 0.0000 0.0000 0.5000  8 Ru 2.69, 4 Ir 2.83
3 Ru 0.5000 0.5000 0.2733  4 Ir 2.69, 4 Ru 2.83, 4 Zr 2.95
4 Ru 0.5000 0.5000 0.7267  4 Ir 2.69, 4 Ru 2.83, 4 Zr 2.95

The calculation puts the density of states at the Fermi level at 4.025 states/eV/f.u. The calculation puts the energy above the most stable polymorph in this dataset at 0.327 eV/atom. As for the formation energy from the elements: -0.0217 eV/atom. The value obtained for the total energy is -36.047 eV/cell. The value obtained for the density is 12.7 g/cm³.